# 1
Here is a geometry-optimized HfNi3Sn structure from Alexandria. Energies are from PBE.

Output
relative energy among the computed polymorphs: 0.000 eV per atom
ΔE_f: 0.070 eV/atom
SG: No. 10

a = 6.661 Å, b = 3.077 Å, c = 8.867 Å
α = 90.00°, β = 111.24°, γ = 90.00°
Fractional positions:
1 Hf 0.166 0.000 0.410
2 Hf 0.834 0.000 0.590
3 Ni 0.273 0.500 0.664
4 Ni 0.313 0.500 0.211
5 Ni 0.500 0.500 0.000
6 Ni 0.500 0.500 0.500
7 Ni 0.687 0.500 0.789
8 Ni 0.727 0.500 0.336
9 Sn 0.111 0.500 0.887
10 Sn 0.889 0.500 0.113

***

# 2
Here is a geometry-optimized Hf2NiSn2 structure from Alexandria. Energies are from PBE.

Output
ΔE_f: -0.186 eV/atom
SG: No. 127

a = 6.666 Å, b = 6.666 Å, c = 4.563 Å
α = 90.00°, β = 90.00°, γ = 90.00°
Fractional positions:
1 Hf 0.163 0.337 0.000
2 Hf 0.337 0.837 0.000
3 Hf 0.663 0.163 0.000
4 Hf 0.837 0.663 0.000
5 Ni 0.000 0.000 0.500
6 Ni 0.500 0.500 0.500
7 Sn 0.149 0.649 0.500
8 Sn 0.351 0.149 0.500
9 Sn 0.649 0.851 0.500
10 Sn 0.851 0.351 0.500

***

# 3
Here is a geometry-optimized HfNi2Sn2 structure from Alexandria. Energies are from PBE.

Output
relative energy among the computed polymorphs: 0.150 eV per atom
ΔE_f: -0.197 eV/atom
SG: No. 127

a = 7.219 Å, b = 7.219 Å, c = 3.317 Å
α = 90.00°, β = 90.00°, γ = 90.00°
Fractional positions:
1 Hf 0.000 0.000 0.000
2 Hf 0.500 0.500 0.000
3 Ni 0.122 0.378 0.000
4 Ni 0.378 0.878 0.000
5 Ni 0.622 0.122 0.000
6 Ni 0.878 0.622 0.000
7 Sn 0.173 0.673 0.500
8 Sn 0.327 0.173 0.500
9 Sn 0.673 0.827 0.500
10 Sn 0.827 0.327 0.500

***

# 4
Here is a geometry-optimized HfNi9Sn2 structure from Alexandria. Energies are from PBE.

Output
relative energy among the computed polymorphs: 0.114 eV per atom
ΔE_f: -0.189 eV/atom
SG: No. 166

a = 8.436 Å, b = 8.436 Å, c = 8.436 Å
α = 33.26°, β = 33.26°, γ = 33.26°
Fractional positions:
1 Hf 0.000 0.000 0.000
2 Ni 0.080 0.584 0.584
3 Ni 0.334 0.334 0.334
4 Ni 0.416 0.416 0.920
5 Ni 0.416 0.920 0.416
6 Ni 0.500 0.500 0.500
7 Ni 0.584 0.080 0.584
8 Ni 0.584 0.584 0.080
9 Ni 0.666 0.666 0.666
10 Ni 0.920 0.416 0.416
11 Sn 0.136 0.136 0.136
12 Sn 0.864 0.864 0.864

***

# 5
Here is a geometry-optimized Hf4Ni2Sn structure from Alexandria. Energies are from PBE.

Output
ΔE_f: -0.099 eV/atom
SG: No. 166

a = 9.510 Å, b = 9.510 Å, c = 9.510 Å
α = 25.99°, β = 25.99°, γ = 25.99°
Fractional positions:
1 Hf 0.108 0.108 0.108
2 Hf 0.300 0.300 0.300
3 Hf 0.700 0.700 0.700
4 Hf 0.892 0.892 0.892
5 Ni 0.396 0.396 0.396
6 Ni 0.604 0.604 0.604
7 Sn 0.500 0.500 0.500

***

# 6
Here is a geometry-optimized Hf4NiSn2 structure from Alexandria. Energies are from PBE.

Output
ΔE_f: -0.055 eV/atom
SG: No. 139

a = 8.228 Å, b = 8.228 Å, c = 8.228 Å
α = 146.98°, β = 146.98°, γ = 47.40°
Fractional positions:
1 Hf 0.000 0.500 0.500
2 Hf 0.164 0.164 0.000
3 Hf 0.500 0.000 0.500
4 Hf 0.836 0.836 0.000
5 Ni 0.000 0.000 0.000
6 Sn 0.360 0.360 0.000
7 Sn 0.640 0.640 0.000

***

# 7
Here is a geometry-optimized HfNi5Sn structure from Alexandria. Energies are from PBE.

Output
ΔE_f: -0.312 eV/atom
SG: No. 62

a = 7.875 Å, b = 4.752 Å, c = 10.178 Å
α = 90.00°, β = 90.00°, γ = 90.00°
Fractional positions:
1 Hf 0.240 0.250 0.065
2 Hf 0.260 0.750 0.565
3 Hf 0.740 0.250 0.435
4 Hf 0.760 0.750 0.935
5 Ni 0.042 0.250 0.593
6 Ni 0.066 0.502 0.809
7 Ni 0.066 0.998 0.809
8 Ni 0.085 0.750 0.016
9 Ni 0.192 0.750 0.237
10 Ni 0.308 0.250 0.737
11 Ni 0.415 0.250 0.516
12 Ni 0.434 0.002 0.309
13 Ni 0.434 0.498 0.309
14 Ni 0.458 0.750 0.093
15 Ni 0.542 0.250 0.907
16 Ni 0.566 0.502 0.691
17 Ni 0.566 0.998 0.691
18 Ni 0.585 0.750 0.484
19 Ni 0.692 0.750 0.263
20 Ni 0.808 0.250 0.763
21 Ni 0.915 0.250 0.984
22 Ni 0.934 0.002 0.191
23 Ni 0.934 0.498 0.191
24 Ni 0.958 0.750 0.407
25 Sn 0.140 0.250 0.361
26 Sn 0.360 0.750 0.861
27 Sn 0.640 0.250 0.139
28 Sn 0.860 0.750 0.639

***

# 8
Here is a geometry-optimized HfNiSn3 structure from Alexandria. Energies are from PBE.

Output
relative energy among the computed polymorphs: 0.565 eV per atom
ΔE_f: 0.938 eV/atom
SG: No. 221

a = 5.490 Å, b = 5.490 Å, c = 5.490 Å
α = 90.00°, β = 90.00°, γ = 90.00°
Fractional positions:
1 Hf 0.000 0.000 0.000
2 Ni 0.500 0.500 0.500
3 Sn 0.000 0.000 0.500
4 Sn 0.000 0.500 0.000
5 Sn 0.500 0.000 0.000

***

# 9
Here is a geometry-optimized Hf5NiSn3 structure from Alexandria. Energies are from PBE.

Output
ΔE_f: -0.426 eV/atom
SG: No. 193

a = 8.581 Å, b = 8.581 Å, c = 5.819 Å
α = 90.00°, β = 90.00°, γ = 120.00°
Fractional positions:
1 Hf 0.000 0.252 0.250
2 Hf 0.000 0.748 0.750
3 Hf 0.252 0.000 0.250
4 Hf 0.252 0.252 0.750
5 Hf 0.333 0.667 0.000
6 Hf 0.333 0.667 0.500
7 Hf 0.667 0.333 0.000
8 Hf 0.667 0.333 0.500
9 Hf 0.748 0.000 0.750
10 Hf 0.748 0.748 0.250
11 Ni 0.000 0.000 0.000
12 Ni 0.000 0.000 0.500
13 Sn 0.000 0.393 0.750
14 Sn 0.000 0.607 0.250
15 Sn 0.393 0.000 0.750
16 Sn 0.393 0.393 0.250
17 Sn 0.607 0.000 0.250
18 Sn 0.607 0.607 0.750

***

# 10
Here is a geometry-optimized HfNiSn3 structure from Alexandria. Energies are from PBE.

Output
relative energy among the computed polymorphs: 0.000 eV per atom
ΔE_f: 0.373 eV/atom
SG: No. 221

a = 4.931 Å, b = 4.931 Å, c = 4.931 Å
α = 90.00°, β = 90.00°, γ = 90.00°
Fractional positions:
1 Hf 0.000 0.000 0.000
2 Ni 0.500 0.500 0.500
3 Sn 0.000 0.500 0.500
4 Sn 0.500 0.000 0.500
5 Sn 0.500 0.500 0.000